[1]
Material: CoSbBr3
Method: DFT, PBE
State: relaxed

Unit cell a=4.981 b=4.981 c=4.981 alpha=90.00 beta=90.00 gamma=90.00
Fractional positions:
Co 0.000 0.000 0.000
Sb 0.500 0.500 0.500
Br 0.000 0.000 0.500
Br 0.000 0.500 0.000
Br 0.500 0.000 0.000

- Polymorph energy (0 for the lowest one): 0 meV/atom
- Uncorrected energy: -15.45 eV per cell
- ΔE_f (raw): 159 meV per atom
- Space-group type: Pm-3m
- V: 123.6 Å³/cell

[2]
Material: CoSb2Br
Method: DFT, PBE
State: relaxed

Unit cell a=8.220 b=8.220 c=8.220 alpha=27.69 beta=27.69 gamma=27.69
Fractional positions:
Co 0.000 0.000 0.000
Sb 0.382 0.382 0.382
Sb 0.618 0.618 0.618
Br 0.500 0.500 0.500

- Polymorph energy (0 for the lowest one): 0 meV/atom
- Uncorrected energy: -17.61 eV per cell
- ΔE_f (raw): -147 meV per atom
- Space-group type: R-3m
- V: 105.8 Å³/cell

[3]
Material: Co4SbBr
Method: DFT, PBE
State: relaxed

Unit cell a=5.028 b=5.028 c=5.028 alpha=60.00 beta=60.00 gamma=60.00
Fractional positions:
Co 0.376 0.376 0.376
Co 0.376 0.376 0.872
Co 0.376 0.872 0.376
Co 0.872 0.376 0.376
Sb 0.750 0.750 0.750
Br 0.000 0.000 0.000

- Uncorrected energy: -30.53 eV per cell
- ΔE_f (raw): 614 meV per atom
- Space-group type: F-43m
- V: 89.9 Å³/cell

[4]
Material: CoSb2Br
Method: DFT, PBE
State: relaxed

Unit cell a=3.193 b=3.193 c=9.273 alpha=90.00 beta=90.00 gamma=90.22
Fractional positions:
Co 0.000 0.000 0.000
Sb 0.000 0.000 0.541
Sb 0.500 0.500 0.834
Br 0.500 0.500 0.172

- Polymorph energy (0 for the lowest one): 438 meV/atom
- Uncorrected energy: -15.86 eV per cell
- ΔE_f (raw): 291 meV per atom
- Space-group type: Cmm2
- V: 94.5 Å³/cell

[5]
Material: CoSb2Br
Method: DFT, PBE
State: relaxed

Unit cell a=7.473 b=7.473 c=7.473 alpha=129.63 beta=129.63 gamma=74.00
Fractional positions:
Co 0.000 0.000 0.000
Co 0.750 0.250 0.500
Sb 0.010 0.625 0.885
Sb 0.375 0.260 0.385
Sb 0.740 0.125 0.115
Sb 0.875 0.990 0.615
Br 0.250 0.750 0.500
Br 0.500 0.500 0.000

- Polymorph energy (0 for the lowest one): 238 meV/atom
- Uncorrected energy: -33.33 eV per cell
- ΔE_f (raw): 90 meV per atom
- Space-group type: I-42d
- V: 241.4 Å³/cell

[6]
Material: CoSb2Br
Method: DFT, PBE
State: relaxed

Unit cell a=3.354 b=3.354 c=9.139 alpha=90.00 beta=90.00 gamma=90.00
Fractional positions:
Co 0.000 0.000 0.000
Sb 0.000 0.000 0.273
Sb 0.500 0.500 0.902
Br 0.500 0.500 0.623

- Polymorph energy (0 for the lowest one): 299 meV/atom
- Uncorrected energy: -16.42 eV per cell
- ΔE_f (raw): 151 meV per atom
- Space-group type: P4mm
- V: 102.8 Å³/cell